1.
Computed, not measured: a relaxed structure of GaNiGe at the GGA-PBE level of DFT.

The structure belongs to space group F-43m (No. 216); the cell edges are 5.714, 5.714 and 5.714 Å and the angles 90.00°, 90.00° and 90.00°. The asymmetric unit holds Ga at (0.000, 0.000, 0.000), Ni at (0.250, 0.250, 0.250) and Ge at (0.000, 0.000, 0.500).

The energy above the lowest structure with this stoichiometry is 0.000 kcal/mol of atoms.

2.
Computed, not measured: a relaxed structure of Ga3Ni6Ge at the GGA-PBE level of DFT.

The structure belongs to space group Cmc2_1 (No. 36); the cell edges are 9.392, 11.305 and 4.894 Å and the angles 90.00°, 90.00° and 90.00°. The asymmetric unit holds Ga at (0.000, 0.103, 0.000), Ga at (0.205, 0.427, 0.308), Ni at (0.000, 0.281, 0.305), Ni at (0.000, 0.498, 0.049), Ni at (0.131, 0.082, 0.441), Ni at (0.239, 0.270, 0.640) and Ge at (0.000, 0.315, 0.799).

Its energy is -50.1 eV/f.u.

3.
Computed, not measured: a relaxed structure of Ga3NiGe at the GGA-PBE level of DFT.

The structure belongs to space group Pm-3m (No. 221); the cell edges are 4.574, 4.574 and 4.574 Å and the angles 90.00°, 90.00° and 90.00°. The asymmetric unit holds Ga at (0.000, 0.000, 0.500), Ni at (0.000, 0.000, 0.000) and Ge at (0.500, 0.500, 0.500).

The energy above the lowest structure with this stoichiometry is 0.000 kcal/mol of atoms.

4.
Computed, not measured: a relaxed structure of Ga4Ni5Ge at the GGA-PBE level of DFT.

The structure belongs to space group I4 (No. 79); the cell edges are 7.552, 7.552 and 4.820 Å and the angles 90.00°, 90.00° and 90.00°. The asymmetric unit holds Ga at (0.062, 0.328, 0.000), Ni at (0.000, 0.000, 0.814), Ni at (0.130, 0.244, 0.513) and Ge at (0.000, 0.000, 0.289).

Its energy is -47.0 eV/f.u.